No. 1
Material: NaTe2F
Method: DFT, PBE
State: optimized geometry

Cell lengths 7.0375, 7.0375, 7.0375 Å; angles 90.00, 90.00, 90.00 degrees
Last column: nearest neighbours and their distance in Å.
Space group Fm-3m (No. 225)
Inequivalent atoms, fractional coordinates:
Na1 0.0000 0.0000 0.0000 x4  8 Te 3.05
Te1 0.2500 0.2500 0.2500 x8  4 F 3.05, 4 Na 3.05
F1 0.0000 0.0000 0.5000 x4  8 Te 3.05

Properties
formation energy without anion corrections: -0.481 eV per atom
crystal system: cubic


No. 2
Material: Ac4PrAu5
Method: DFT, PBE
State: optimized geometry

Cell lengths 3.8679, 3.8679, 19.4922 Å; angles 90.00, 90.00, 90.00 degrees
Last column: nearest neighbours and their distance in Å.
Space group P4/mmm (No. 123)
Inequivalent atoms, fractional coordinates:
Ac1 0.0000 0.0000 0.1017 x2  8 Au 3.38
Ac2 0.0000 0.0000 0.3046 x2  8 Au 3.37-3.42
Pr1 0.0000 0.0000 0.5000 x1  8 Au 3.25
Au1 0.5000 0.5000 0.0000 x1  8 Ac 3.38
Au2 0.5000 0.5000 0.2036 x2  8 Ac 3.37-3.38
Au3 0.5000 0.5000 0.4102 x2  4 Pr 3.25, 4 Ac 3.42, 1 Au 3.50

Properties
crystal system: tetragonal
E_form: -7.6 eV per formula unit


No. 3
Material: CaMg9Ga3
Method: DFT, PBE
State: optimized geometry

Cell lengths 5.7083, 14.2737, 7.5330 Å; angles 90.00, 110.16, 90.00 degrees
Last column: nearest neighbours and their distance in Å.
Space group C2/m (No. 12)
Inequivalent atoms, fractional coordinates:
Ca1 0.0000 0.0000 0.0000 x2  14 Mg 3.53-3.77, 6 Ga 3.84-3.86
Mg1 0.0000 0.0000 0.5000 x2  2 Ga 2.85, 8 Mg 2.97-3.06
Mg2 0.1017 0.3915 0.2135 x8  3 Ga 2.87-2.91, 6 Mg 2.97-3.20
Mg3 0.1671 0.1774 0.3483 x8  6 Mg 2.99-3.26, 3 Ga 3.01-3.14
Ga1 0.0000 0.5000 0.5000 x2  10 Mg 2.85-3.14
Ga2 0.2500 0.2500 0.0000 x4  2 Ga 2.85, 8 Mg 2.88-3.05

Properties
crystal system: monoclinic
E_form: -1.7 eV per formula unit


No. 4
Material: LuAlCuRu
Method: DFT, PBE
State: optimized geometry

Cell lengths 6.3727, 6.3727, 6.3727 Å; angles 90.00, 90.00, 90.00 degrees
Last column: nearest neighbours and their distance in Å.
Space group F-43m (No. 216)
Inequivalent atoms, fractional coordinates:
Lu1 0.0000 0.0000 0.0000 x4  4 Ru 2.76, 4 Cu 2.76
Al1 0.0000 0.0000 0.5000 x4  4 Ru 2.76, 4 Cu 2.76
Cu1 0.2500 0.2500 0.2500 x4  4 Al 2.76, 4 Lu 2.76
Ru1 0.2500 0.2500 0.7500 x4  4 Al 2.76, 4 Lu 2.76

Properties
crystal system: cubic
E_form: -1.6 eV per formula unit


No. 5
Material: Cd3Si
Method: DFT, PBE
State: optimized geometry

Cell lengths 5.5958, 5.5958, 5.5958 Å; angles 90.00, 90.00, 90.00 degrees
Last column: nearest neighbours and their distance in Å.
Space group Pm-3n (No. 223)
Inequivalent atoms, fractional coordinates:
Cd1 0.0000 0.2500 0.5000 x6  2 Cd 2.80, 4 Si 3.13
Si1 0.0000 0.0000 0.0000 x2  12 Cd 3.13

Properties
formation energy without anion corrections: 0.303 eV per atom
crystal system: cubic


No. 6
Material: Pr8Sn2Ir3
Method: DFT, PBE
State: optimized geometry

Cell lengths 9.2582, 5.0729, 9.2695 Å; angles 90.00, 113.10, 90.00 degrees
Last column: nearest neighbours and their distance in Å.
Space group P2/m (No. 10)
Inequivalent atoms, fractional coordinates:
Pr1 0.1094 0.0000 0.3906 x2  2 Ir 3.04-3.05, 2 Sn 3.27, 1 Pr 3.38
Pr2 0.1445 0.5000 0.8691 x2  3 Ir 3.03-3.07, 2 Sn 3.31-3.35
Pr3 0.3683 0.5000 0.6446 x2  3 Ir 3.03-3.07, 2 Sn 3.31-3.35
Pr4 0.3863 0.0000 0.1138 x2  4 Ir 3.09-3.12, 2 Sn 3.37
Sn1 0.2430 0.5000 0.2573 x2  8 Pr 3.27-3.37
Ir1 0.2478 0.0000 0.7480 x2  8 Pr 3.04-3.12
Ir2 0.5000 0.5000 0.0000 x1  8 Pr 3.03-3.09

Properties
crystal system: monoclinic
E_form: -6.5 eV per formula unit


No. 7
Material: MgNiSe
Method: DFT, PBE
State: optimized geometry

Cell lengths 4.0028, 4.0028, 7.2832 Å; angles 90.00, 90.00, 120.00 degrees
Last column: nearest neighbours and their distance in Å.
Space group P6_3/mmc (No. 194)
Inequivalent atoms, fractional coordinates:
Mg1 0.0000 0.0000 0.0000 x2  6 Se 2.94, 6 Ni 2.94
Ni1 0.3333 0.6667 0.2500 x2  3 Se 2.31
Se1 0.3333 0.6667 0.7500 x2  3 Ni 2.31

Properties
formation energy without anion corrections: -0.390 eV per atom
crystal system: hexagonal


No. 8
Material: AgSbOs2
Method: DFT, PBE
State: optimized geometry

Cell lengths 3.9886, 3.9886, 19.4696 Å; angles 90.00, 90.00, 90.00 degrees
Last column: nearest neighbours and their distance in Å.
Space group I-42d (No. 122)
Inequivalent atoms, fractional coordinates:
Ag1 0.0000 0.0000 0.0000 x4  4 Os 2.72, 4 Sb 2.82
Sb1 0.0000 0.0000 0.5000 x4  4 Ag 2.82, 4 Os 2.94
Os1 0.1714 0.2500 0.1250 x8  2 Os 2.42

Properties
formation energy without anion corrections: 0.939 eV per atom
crystal system: tetragonal


No. 9
Material: TaMo
Method: DFT, PBE
State: optimized geometry

Cell lengths 3.2298, 4.5184, 9.2628 Å; angles 90.00, 90.00, 90.00 degrees
Last column: nearest neighbours and their distance in Å.
Space group Imma (No. 74)
Inequivalent atoms, fractional coordinates:
Ta1 0.0000 0.2500 0.1193 x4  6 Mo 2.78-2.82, 2 Ta 2.91
Mo1 0.0000 0.2500 0.6303 x4  2 Mo 2.74, 6 Ta 2.78-2.82

Properties
crystal system: orthorhombic
E_form: -0.4 eV per formula unit


No. 10
Material: Ba2SiBr
Method: DFT, PBE
State: optimized geometry

Cell lengths 4.2409, 4.2964, 17.3806 Å; angles 90.00, 90.00, 90.00 degrees
Last column: nearest neighbours and their distance in Å.
Space group Imm2 (No. 44)
Inequivalent atoms, fractional coordinates:
Ba1 0.0000 0.0000 0.0000 x2  4 Si 3.38, 2 Br 3.63
Ba2 0.0000 0.5000 0.2719 x2  2 Si 3.25, 4 Br 3.50
Si1 0.0000 0.0000 0.4119 x2  6 Ba 3.25-3.38
Br1 0.0000 0.5000 0.6695 x2  6 Ba 3.50-3.63

Properties
formation energy without anion corrections: -0.845 eV per atom
crystal system: orthorhombic


No. 11
Material: MgIBr2
Method: DFT, PBE
State: optimized geometry

Cell lengths 7.9657, 7.9657, 10.0590 Å; angles 90.00, 90.00, 90.00 degrees
Last column: nearest neighbours and their distance in Å.
Space group I-42d (No. 122)
Inequivalent atoms, fractional coordinates:
Mg1 0.0000 0.0000 0.0000 x4  4 Br 2.53
I1 0.0000 0.0000 0.5000 x4  4 Br 3.85
Br1 0.1177 0.7500 0.1250 x8  2 Mg 2.53

Properties
formation energy without anion corrections: -0.735 eV per atom
crystal system: tetragonal


No. 12
Material: NaCd4Ga2
Method: DFT, PBE
State: optimized geometry

Cell lengths 4.5292, 15.9212, 4.5235 Å; angles 90.00, 90.00, 90.00 degrees
Last column: nearest neighbours and their distance in Å.
Space group Cmmm (No. 65)
Inequivalent atoms, fractional coordinates:
Na1 0.0000 0.0000 0.0000 x2  8 Ga 3.44, 8 Cd 3.63-3.67
Cd1 0.0000 0.1785 0.5000 x4  2 Ga 2.77
Cd2 0.0000 0.3189 0.0000 x4  2 Ga 2.79
Ga1 0.0000 0.4213 0.5000 x4  1 Ga 2.50, 4 Cd 2.77-2.79

Properties
crystal system: orthorhombic
E_form: -0.3 eV per formula unit


No. 13
Material: Al2CdRh
Method: DFT, PBE
State: optimized geometry

Cell lengths 8.8715, 2.9903, 5.0281 Å; angles 90.00, 100.73, 90.00 degrees
Last column: nearest neighbours and their distance in Å.
Space group C2/m (No. 12)
Inequivalent atoms, fractional coordinates:
Al1 0.2336 0.0000 0.2134 x4  3 Rh 2.62-2.77, 2 Al 2.68, 1 Cd 2.74
Cd1 0.0000 0.0000 0.5000 x2  6 Al 2.74-2.94, 4 Rh 2.93, 2 Cd 2.99
Rh1 0.0000 0.5000 0.0000 x2  6 Al 2.62-2.77, 4 Cd 2.93

Properties
crystal system: monoclinic
E_form: -1.3 eV per formula unit


No. 14
Material: La2YCl
Method: DFT, PBE
State: optimized geometry

Cell lengths 3.7312, 6.2401, 10.8063 Å; angles 90.00, 90.00, 90.00 degrees
Last column: nearest neighbours and their distance in Å.
Space group Cmm2 (No. 35)
Inequivalent atoms, fractional coordinates:
La1 0.0000 0.0000 0.0000 x2  2 Cl 3.14
La2 0.0000 0.5000 0.2935 x2  2 Y 3.46, 8 La 3.64-3.73
Y1 0.0000 0.0000 0.5636 x2  2 Cl 2.88
Cl1 0.0000 0.5000 0.7662 x2  2 Y 2.88, 2 La 3.14

Properties
formation energy without anion corrections: -0.581 eV per atom
crystal system: orthorhombic


No. 15
Material: Eu3Ga2
Method: DFT, PBE
State: optimized geometry

Cell lengths 8.4568, 8.5001, 8.5200 Å; angles 90.00, 109.49, 90.00 degrees
Last column: nearest neighbours and their distance in Å.
Space group C2/c (No. 15)
Inequivalent atoms, fractional coordinates:
Eu1 0.0000 0.1682 0.2500 x4  6 Ga 3.31-3.45, 2 Eu 3.39
Eu2 0.1990 0.4561 0.9658 x8  4 Ga 3.13-3.38, 1 Eu 3.39
Ga1 0.0986 0.2067 0.6581 x8  1 Ga 2.64

Properties
crystal system: monoclinic
E_form: -2.0 eV per formula unit


No. 16
Material: Y2TmMgC
Method: DFT, PBE
State: optimized geometry

Cell lengths 5.0112, 5.0112, 4.8593 Å; angles 90.00, 90.00, 90.00 degrees
Last column: nearest neighbours and their distance in Å.
Space group P4/mmm (No. 123)
Inequivalent atoms, fractional coordinates:
Y1 0.0000 0.5000 0.0000 x2  2 C 2.51
Tm1 0.0000 0.0000 0.5000 x1  2 C 2.43
Mg1 0.5000 0.5000 0.5000 x1  8 Y 3.49, 4 Tm 3.54
C1 0.0000 0.0000 0.0000 x1  2 Tm 2.43, 4 Y 2.51

Properties
crystal system: tetragonal
E_form: -1.1 eV per formula unit


No. 17
Material: Pr4GaCu3
Method: DFT, PBE
State: optimized geometry

Cell lengths 3.9533, 4.5206, 11.1072 Å; angles 90.00, 90.00, 90.00 degrees
Last column: nearest neighbours and their distance in Å.
Space group Pmm2 (No. 25)
Inequivalent atoms, fractional coordinates:
Pr1 0.0000 0.0000 0.0000 x1  6 Cu 3.00-3.12, 1 Ga 3.24
Pr2 0.0000 0.5000 0.2801 x1  7 Cu 3.00-3.23
Pr3 0.5000 0.0000 0.4882 x1  5 Cu 3.14-3.16, 2 Ga 3.14
Pr4 0.5000 0.5000 0.7866 x1  3 Cu 3.10-3.22, 4 Ga 3.13
Ga1 0.0000 0.0000 0.7081 x1  2 Cu 2.72
Cu1 0.0000 0.5000 0.5711 x1  2 Ga 2.72
Cu2 0.5000 0.0000 0.2034 x1  2 Cu 2.66
Cu3 0.5000 0.5000 0.0765 x1  2 Cu 2.66

Properties
crystal system: orthorhombic
E_form: -1.9 eV per formula unit


No. 18
Material: AcNdMgPb
Method: DFT, PBE
State: optimized geometry

Cell lengths 8.0417, 8.0417, 8.0417 Å; angles 90.00, 90.00, 90.00 degrees
Last column: nearest neighbours and their distance in Å.
Space group F-43m (No. 216)
Inequivalent atoms, fractional coordinates:
Ac1 0.0000 0.0000 0.0000 x4  4 Mg 3.48, 4 Pb 3.48
Nd1 0.0000 0.0000 0.5000 x4  4 Pb 3.48, 4 Mg 3.48
Mg1 0.2500 0.2500 0.2500 x4  4 Nd 3.48, 4 Ac 3.48
Pb1 0.2500 0.2500 0.7500 x4  4 Ac 3.48, 4 Nd 3.48

Properties
crystal system: cubic
E_form: -1.1 eV per formula unit


No. 19
Material: K2SrBr2
Method: DFT, PBE
State: optimized geometry

Cell lengths 5.9378, 5.9378, 15.8543 Å; angles 90.00, 90.00, 90.00 degrees
Last column: nearest neighbours and their distance in Å.
Space group I4/mmm (No. 139)
Inequivalent atoms, fractional coordinates:
K1 0.0000 0.5000 0.2500 x4  4 Br 3.22
Sr1 0.0000 0.0000 0.0000 x2  8 K 4.95, 10 Br 5.00-5.22
Br1 0.0000 0.0000 0.3291 x4  4 K 3.22

Properties
formation energy without anion corrections: -1.020 eV per atom
crystal system: tetragonal


No. 20
Material: Tb15NdSm4
Method: DFT, PBE
State: optimized geometry

Cell lengths 5.0654, 5.0654, 25.2879 Å; angles 90.00, 90.00, 90.00 degrees
Last column: nearest neighbours and their distance in Å.
Space group P4/mmm (No. 123)
Inequivalent atoms, fractional coordinates:
Tb1 0.0000 0.0000 0.0000 x1  4 Nd 3.58, 8 Tb 3.59
Tb2 0.0000 0.0000 0.2003 x2  8 Tb 3.58, 4 Sm 3.58
Tb3 0.0000 0.0000 0.4000 x2  8 Tb 3.58, 4 Sm 3.58
Tb4 0.0000 0.5000 0.1004 x4  2 Sm 3.57, 8 Tb 3.58-3.59, 2 Nd 3.59
Tb5 0.0000 0.5000 0.3001 x4  8 Tb 3.58, 4 Sm 3.58
Tb6 0.0000 0.5000 0.5000 x2  4 Sm 3.58, 8 Tb 3.58
Nd1 0.5000 0.5000 0.0000 x1  12 Tb 3.58-3.59
Sm1 0.5000 0.5000 0.2002 x2  12 Tb 3.57-3.58
Sm2 0.5000 0.5000 0.4000 x2  12 Tb 3.58

Properties
crystal system: tetragonal
E_form: 0.3 eV per formula unit


No. 21
Material: Be2AsAu
Method: DFT, PBE
State: optimized geometry

Cell lengths 5.7116, 6.8931, 2.7839 Å; angles 90.00, 90.30, 90.00 degrees
Last column: nearest neighbours and their distance in Å.
Space group C2/m (No. 12)
Inequivalent atoms, fractional coordinates:
Be1 0.2500 0.2500 0.0000 x4  4 As 2.63-2.64, 4 Au 2.63-2.64, 4 Be 2.78-2.86
As1 0.0000 0.0000 0.5000 x2  8 Be 2.63-2.64, 2 As 2.78, 2 Au 2.86
Au1 0.0000 0.5000 0.5000 x2  8 Be 2.63-2.64, 2 Au 2.78, 2 As 2.86

Properties
crystal system: monoclinic
E_form: 1.0 eV per formula unit


No. 22
Material: In9Cu2Pb
Method: DFT, PBE
State: optimized geometry

Cell lengths 12.9155, 12.9155, 7.2288 Å; angles 90.00, 90.00, 90.00 degrees
Last column: nearest neighbours and their distance in Å.
Space group I4_1/amd (No. 141, origin choice 2)
Inequivalent atoms, fractional coordinates:
In1 0.0000 0.2500 0.3750 x4  8 In 3.17, 4 Cu 3.35
In2 0.1254 0.0794 0.1544 x32  2 Cu 2.81-3.15, 1 In 3.03
Cu1 0.0000 0.0000 0.5000 x8  8 In 2.81-3.15
Pb1 0.0000 0.2500 0.8750 x4  10 In 3.40-3.61

Properties
crystal system: tetragonal
E_form: 1.2 eV per formula unit


No. 23
Material: Sr2InNi
Method: DFT, PBE
State: optimized geometry

Cell lengths 4.3997, 4.8821, 11.7835 Å; angles 90.00, 90.00, 90.00 degrees
Last column: nearest neighbours and their distance in Å.
Space group Amm2 (No. 38)
Inequivalent atoms, fractional coordinates:
Sr1 0.0000 0.0000 0.0000 x2  3 In 3.37-3.58, 4 Ni 3.42
Sr2 0.5000 0.0000 0.2898 x2  3 Ni 3.42-3.47, 4 In 3.46
In1 0.0000 0.0000 0.6966 x2  2 Ni 2.59
Ni1 0.5000 0.0000 0.5801 x2  2 In 2.59

Properties
crystal system: orthorhombic
E_form: -0.7 eV per formula unit


No. 24
Material: Ac2TbCo
Method: DFT, PBE
State: optimized geometry

Cell lengths 3.9745, 3.9745, 28.9744 Å; angles 90.00, 90.00, 120.00 degrees
Last column: nearest neighbours and their distance in Å.
Space group R-3m (No. 166, hexagonal axes)
Inequivalent atoms, fractional coordinates:
Ac1 0.0000 0.0000 0.2252 x6  3 Co 2.85
Tb1 0.0000 0.0000 0.0000 x3  6 Ac 3.88, 6 Tb 3.97
Co1 0.0000 0.0000 0.5000 x3  6 Ac 2.85

Properties
crystal system: trigonal
E_form: 0.4 eV per formula unit


No. 25
Material: YAs2Pt
Method: DFT, PBE
State: optimized geometry

Cell lengths 6.8459, 6.8459, 6.8459 Å; angles 90.00, 90.00, 90.00 degrees
Last column: nearest neighbours and their distance in Å.
Space group F-43m (No. 216)
Inequivalent atoms, fractional coordinates:
Y1 0.0000 0.0000 0.0000 x4  4 Pt 2.96, 4 As 2.96
As1 0.0000 0.0000 0.5000 x4  4 As 2.96, 4 Pt 2.96
As2 0.2500 0.2500 0.7500 x4  4 As 2.96, 4 Y 2.96
Pt1 0.2500 0.2500 0.2500 x4  4 As 2.96, 4 Y 2.96

Properties
crystal system: cubic
E_form: -1.9 eV per formula unit